[1]
4
Lattice="3.7773 0.0000 0.0000 0.0000 3.7773 0.0000 0.0000 0.0000 7.6225" Properties=species:S:1:pos:R:3 comment="PBE Pr2ZnHg, optimized geometry" sg=P4/mmm mass_density_g_cm3=8.364 polymorph_energy_mev_per_atom=0.0 m_tot_mub_per_atom=0.000 volume_a3_per_atom=27.19 pbc="T T T"
Pr 0.0000 0.0000 1.7739
Pr 0.0000 0.0000 5.8486
Zn 1.8886 1.8886 0.0000
Hg 1.8886 1.8886 3.8112

[2]
5
Lattice="4.2901 -2.7125 0.0000 4.2901 2.7125 0.0000 -3.0445 0.0000 5.3363" Properties=species:S:1:pos:R:3 comment="PBE Pr2Zn2Hg, optimized geometry" sg=C2/m final_energy_ha_per_atom=-0.10093 mass_density_g_cm3=8.199 m_tot_mub_per_atom=0.000 volume_a3_per_atom=24.84 pbc="T T T"
Pr 1.4625 0.0000 1.0541
Pr 4.0733 0.0000 4.2822
Zn 1.0891 0.0000 4.0765
Zn 4.4466 0.0000 1.2598
Hg -1.5223 0.0000 2.6681

[3]
12
Lattice="2.7082 -7.8123 0.0000 2.7082 7.8123 0.0000 0.0000 0.0000 7.7504" Properties=species:S:1:pos:R:3 comment="PBE Pr5ZnHg6, optimized geometry" sg=Cmmm final_energy_ha_per_atom=-0.09760 mass_density_g_cm3=9.993 m_tot_mub_per_atom=0.058 volume_a3_per_atom=27.33 pbc="T T T"
Pr 0.0000 0.0000 0.0000
Pr 2.7082 2.8222 0.0000
Pr 2.7082 2.3771 3.8752
Pr 2.7082 -2.3771 3.8752
Pr 2.7082 -2.8222 0.0000
Zn 0.0000 0.0000 3.8752
Hg 2.7082 5.3223 2.1173
Hg 2.7082 5.3223 5.6331
Hg 2.7082 0.0000 1.7598
Hg 2.7082 0.0000 5.9906
Hg 2.7082 -5.3223 2.1173
Hg 2.7082 -5.3223 5.6331

[4]
20
Lattice="-5.5294 6.5366 3.2359 5.5294 -6.5366 3.2359 5.5294 6.5366 -3.2359" Properties=species:S:1:pos:R:3 comment="PBE Pr2Zn3Hg5, optimized geometry" sg=Ibam final_energy_ha_per_atom=-0.06394 mass_density_g_cm3=10.514 m_tot_mub_per_atom=0.000 volume_a3_per_atom=23.39 pbc="T T T"
Pr 2.5955 1.7785 0.0000
Pr 2.5955 -1.7785 3.2359
Pr 2.9339 8.3151 0.0000
Pr 2.9339 4.7580 3.2359
Zn 4.2492 -4.7470 3.2359
Zn 5.5294 0.0000 1.6180
Zn 4.2492 4.7470 0.0000
Zn 1.2802 1.7895 3.2359
Zn 0.0000 6.5366 1.6180
Zn 1.2802 11.2836 0.0000
Hg 5.5294 -3.0189 1.6180
Hg 7.2821 1.2711 0.0000
Hg 0.0000 0.0000 1.6180
Hg 1.7527 5.2654 0.0000
Hg 5.5294 3.0189 1.6180
Hg 0.0000 3.5177 1.6180
Hg 3.7767 1.2711 3.2359
Hg 0.0000 0.0000 4.8539
Hg -1.7527 5.2654 3.2359
Hg 0.0000 9.5554 1.6180

[5]
14
Lattice="5.2339 -5.0939 0.0000 5.2339 5.0939 0.0000 -0.1729 0.0000 7.4266" Properties=species:S:1:pos:R:3 comment="PBE Pr3ZnHg3, optimized geometry" sg=C2/m final_energy_ha_per_atom=-0.09808 mass_density_g_cm3=9.141 m_tot_mub_per_atom=0.000 volume_a3_per_atom=28.29 pbc="T T T"
Pr 2.4370 1.9281 5.5429
Pr 0.8015 0.0000 1.9852
Pr 2.4370 -1.9281 5.5429
Pr 7.8579 1.9281 1.8837
Pr 9.4935 0.0000 5.4414
Pr 7.8579 -1.9281 1.8837
Zn 3.7051 0.0000 3.3019
Zn 6.5898 0.0000 4.1247
Hg 5.2339 2.6486 0.0000
Hg 5.1475 2.3794 3.7133
Hg 3.7085 0.0000 0.5452
Hg 6.5865 0.0000 6.8814
Hg 5.1475 -2.3794 3.7133
Hg 5.2339 -2.6486 0.0000

[6]
7
Lattice="2.2626 -10.4011 0.0000 2.2626 10.4011 0.0000 0.0000 0.0000 3.6995" Properties=species:S:1:pos:R:3 comment="PBE Pr2Zn2Hg3, optimized geometry" sg=Cmmm mass_density_g_cm3=9.674 polymorph_energy_mev_per_atom=28.2 m_tot_mub_per_atom=0.025 volume_a3_per_atom=24.87 pbc="T T T"
Pr 2.2626 7.0601 0.0000
Pr 2.2626 -7.0601 0.0000
Zn 2.2626 4.5603 1.8498
Zn 2.2626 -4.5603 1.8498
Hg 0.0000 0.0000 0.0000
Hg 2.2626 1.5727 1.8498
Hg 2.2626 -1.5727 1.8498

[7]
16
Lattice="2.8847 -6.5903 0.0000 2.8847 6.5903 0.0000 0.0000 0.0000 13.2876" Properties=species:S:1:pos:R:3 comment="PBE Pr5ZnHg2, optimized geometry" sg=Cmcm mass_density_g_cm3=7.699 polymorph_energy_mev_per_atom=174.5 m_tot_mub_per_atom=0.000 volume_a3_per_atom=31.58 pbc="T T T"
Pr 2.8847 5.8231 8.1108
Pr 2.8847 5.8231 11.8206
Pr 2.8847 1.6739 7.3113
Pr 2.8847 1.6739 12.6201
Pr 2.8847 1.3216 3.3219
Pr 2.8847 -1.3216 9.9657
Pr 2.8847 -1.6739 0.6675
Pr 2.8847 -1.6739 5.9763
Pr 2.8847 -5.8231 1.4670
Pr 2.8847 -5.8231 5.1768
Zn 2.8847 3.3612 9.9657
Zn 2.8847 -3.3612 3.3219
Hg 2.8847 4.0318 1.6468
Hg 2.8847 4.0318 4.9970
Hg 2.8847 -4.0318 8.2906
Hg 2.8847 -4.0318 11.6408

[8]
10
Lattice="3.7346 0.0000 0.0000 0.0000 3.7346 0.0000 0.0000 0.0000 18.8113" Properties=species:S:1:pos:R:3 comment="PBE Pr5Zn4Hg, optimized geometry" sg=P4/mmm final_energy_ha_per_atom=-0.11998 mass_density_g_cm3=7.385 m_tot_mub_per_atom=0.000 volume_a3_per_atom=26.24 pbc="T T T"
Pr 0.0000 0.0000 0.0000
Pr 0.0000 0.0000 3.7056
Pr 0.0000 0.0000 7.3283
Pr 0.0000 0.0000 11.4831
Pr 0.0000 0.0000 15.1057
Zn 1.8673 1.8673 1.8527
Zn 1.8673 1.8673 5.5138
Zn 1.8673 1.8673 13.2975
Zn 1.8673 1.8673 16.9586
Hg 1.8673 1.8673 9.4057

[9]
6
Lattice="3.7965 0.0000 0.0000 0.0000 3.7965 0.0000 0.0000 0.0000 11.5462" Properties=species:S:1:pos:R:3 comment="PBE Pr3ZnHg2, optimized geometry" sg=P4/mmm mass_density_g_cm3=8.874 polymorph_energy_mev_per_atom=0.0 m_tot_mub_per_atom=0.091 volume_a3_per_atom=27.74 pbc="T T T"
Pr 0.0000 0.0000 0.0000
Pr 0.0000 0.0000 4.0164
Pr 0.0000 0.0000 7.5298
Zn 1.8982 1.8982 5.7731
Hg 1.8982 1.8982 2.0190
Hg 1.8982 1.8982 9.5273

[10]
9
Lattice="7.8498 -4.2229 0.0000 7.8498 4.2229 0.0000 -0.0038 0.0000 3.5138" Properties=species:S:1:pos:R:3 comment="PBE Pr2ZnHg6, optimized geometry" sg=C2/m final_energy_ha_per_atom=-0.05943 mass_density_g_cm3=11.054 m_tot_mub_per_atom=0.028 volume_a3_per_atom=25.88 pbc="T T T"
Pr 3.0962 0.0000 3.5126
Pr 12.5996 0.0000 0.0012
Zn 7.8479 0.0000 1.7569
Hg 5.5058 1.5343 1.7590
Hg 7.8498 2.7353 0.0000
Hg 10.1901 1.5343 1.7548
Hg 5.5058 -1.5343 1.7590
Hg 7.8498 -2.7353 0.0000
Hg 10.1901 -1.5343 1.7548

[11]
18
Lattice="8.7421 -3.8294 0.0000 8.7421 3.8294 0.0000 0.0000 0.0000 7.8922" Properties=species:S:1:pos:R:3 comment="PBE Pr5Zn2Hg2, optimized geometry" sg=Cmce final_energy_ha_per_atom=-0.12125 mass_density_g_cm3=7.772 m_tot_mub_per_atom=0.000 volume_a3_per_atom=29.36 pbc="T T T"
Pr 0.0000 0.0000 0.0000
Pr 6.3695 2.4180 5.3656
Pr 6.3695 1.4114 1.4194
Pr 11.1146 2.4180 5.3656
Pr 11.1146 1.4114 1.4194
Pr 8.7421 0.0000 3.9461
Pr 6.3695 -1.4114 6.4728
Pr 6.3695 -2.4180 2.5267
Pr 11.1146 -1.4114 6.4728
Pr 11.1146 -2.4180 2.5267
Zn 8.7421 2.9614 3.0030
Zn 8.7421 0.8680 6.9491
Zn 8.7421 -0.8680 0.9431
Zn 8.7421 -2.9614 4.8892
Hg 3.8524 0.0000 0.0000
Hg 4.8897 0.0000 3.9461
Hg 12.5945 0.0000 3.9461
Hg 13.6317 0.0000 0.0000

[12]
16
Lattice="2.3467 -5.5252 0.0000 2.3467 5.5252 0.0000 0.0000 0.0000 15.4189" Properties=species:S:1:pos:R:3 comment="PBE Pr3Zn3Hg2, optimized geometry" sg=Cmcm final_energy_ha_per_atom=-0.09932 mass_density_g_cm3=8.473 m_tot_mub_per_atom=0.000 volume_a3_per_atom=24.99 pbc="T T T"
Pr 2.3467 4.3906 9.3564
Pr 2.3467 4.3906 13.7719
Pr 2.3467 1.3157 11.5642
Pr 2.3467 -1.3157 3.8547
Pr 2.3467 -4.3906 1.6470
Pr 2.3467 -4.3906 6.0624
Zn 2.3467 1.7607 3.8547
Zn 2.3467 1.1254 8.3086
Zn 2.3467 1.1254 14.8197
Zn 2.3467 -1.1254 0.5992
Zn 2.3467 -1.1254 7.1103
Zn 2.3467 -1.7607 11.5642
Hg 2.3467 3.3518 1.5466
Hg 2.3467 3.3518 6.1629
Hg 2.3467 -3.3518 9.2560
Hg 2.3467 -3.3518 13.8723

Repeat the fourth record exactly.
20
Lattice="-5.5294 6.5366 3.2359 5.5294 -6.5366 3.2359 5.5294 6.5366 -3.2359" Properties=species:S:1:pos:R:3 comment="PBE Pr2Zn3Hg5, optimized geometry" sg=Ibam final_energy_ha_per_atom=-0.06394 mass_density_g_cm3=10.514 m_tot_mub_per_atom=0.000 volume_a3_per_atom=23.39 pbc="T T T"
Pr 2.5955 1.7785 0.0000
Pr 2.5955 -1.7785 3.2359
Pr 2.9339 8.3151 0.0000
Pr 2.9339 4.7580 3.2359
Zn 4.2492 -4.7470 3.2359
Zn 5.5294 0.0000 1.6180
Zn 4.2492 4.7470 0.0000
Zn 1.2802 1.7895 3.2359
Zn 0.0000 6.5366 1.6180
Zn 1.2802 11.2836 0.0000
Hg 5.5294 -3.0189 1.6180
Hg 7.2821 1.2711 0.0000
Hg 0.0000 0.0000 1.6180
Hg 1.7527 5.2654 0.0000
Hg 5.5294 3.0189 1.6180
Hg 0.0000 3.5177 1.6180
Hg 3.7767 1.2711 3.2359
Hg 0.0000 0.0000 4.8539
Hg -1.7527 5.2654 3.2359
Hg 0.0000 9.5554 1.6180